This record from Alexandria via LeMat-Bulk describes crystalline ThInSn at its relaxed geometry. The functional is GGA-PBE.

Cell: 6.299 6.299 6.299 Å, 144.65 144.65 50.85°
Element x y z (fractional)
Th1 0.000 0.000 0.000
In1 0.684 0.684 0.000
Sn1 0.316 0.316 0.000

Total DFT energy (no corrections) ... -14.84 eV per formula unit
Excess energy over the best structure of this formula in the dataset ... 0.165 eV per atom
Formation enthalpy at 0 K ... -0.23 eV/atom